TaTlIr2 | meta-GGA SCAN | single point on PBEsol structure

a = 2.943 Å, b = 4.767 Å, c = 4.767 Å
α = 90.00°, β = 90.00°, γ = 90.00°
Fractional positions:
Ir  0.000  0.000  0.500
Ir  0.000  0.500  0.000
Ta  0.500  0.500  0.500
Tl  0.500  0.000  0.000

## Properties
For the calculated formation energy, the calculation gives 0.194 eV/atom. As for the volume: 16.718 A^3/atom.

---

TaTlIr3 | meta-GGA SCAN | single point on PBEsol structure

a = 4.772 Å, b = 4.772 Å, c = 4.772 Å
α = 90.00°, β = 90.00°, γ = 90.00°
Fractional positions:
Tl  0.500  0.500  0.500
Ir  0.000  0.500  0.000
Ir  0.000  0.000  0.500
Ir  0.500  0.000  0.000
Ta  0.000  0.000  0.000

## Properties
For the calculated formation energy, the calculation gives 1.474 eV/atom. As for the volume: 21.728 A^3/atom.

---

TaTlIr2 | meta-GGA SCAN | single point on PBEsol structure

a = 4.542 Å, b = 4.542 Å, c = 4.542 Å
α = 60.00°, β = 60.00°, γ = 60.00°
Fractional positions:
Ir  0.000  0.000  0.000
Ir  0.750  0.750  0.750
Ta  0.500  0.500  0.500
Tl  0.250  0.250  0.250

## Properties
For the calculated formation energy, the calculation gives 0.415 eV/atom. As for the volume: 16.560 A^3/atom.

---

TaTl3Ir | meta-GGA SCAN | single point on PBEsol structure

a = 5.276 Å, b = 5.276 Å, c = 5.276 Å
α = 90.00°, β = 90.00°, γ = 90.00°
Each line ends with the local moment (μB).
Fractional positions:
Tl  0.000  0.500  0.000  0.00
Tl  0.000  0.000  0.500  0.00
Tl  0.500  0.000  0.000  0.00
Ir  0.500  0.500  0.500  2.07
Ta  0.000  0.000  0.000  0.08

## Properties
For the calculated formation energy, the calculation gives 1.681 eV/atom. As for the volume: 29.369 A^3/atom.